(1)
Crystalline ScMn2Ni2 at its relaxed geometry. Source: Alexandria, functional GGA-PBE.

Values from the calculation:
As for the energy relative to the lowest polymorph listed for this composition: 0 kJ/mol of formula units. Its density of states at the Fermi level is 5.32 states/eV per cell. The calculation puts the formation energy at 22 meV per atom. Its theoretical density is 6.63 g/cm3.

Lattice parameters (Å, degrees): 3.7758 3.7758 5.4781 69.84 69.84 90.00
Last column: nearest neighbours and their distance in Å.
Positions (direct):
Mn1 0.3985 0.3985 0.2030  1 Mn 1.94
Mn2 0.6015 0.6015 0.7970  1 Mn 1.94
Ni1 0.7500 0.2500 0.5000  4 Mn 2.36
Ni2 0.2500 0.7500 0.5000  4 Mn 2.36
Sc1 0.0000 0.0000 0.0000  8 Mn 2.84, 8 Ni 3.05



(2)
Crystalline Ca4TbDy3Te8 at its relaxed geometry. Source: Alexandria, functional GGA-PBE.

Values from the calculation:
Its density of states at the Fermi level is 6.07 states/eV per cell. The uncorrected formation energy comes out at -1.456 eV per atom. Its theoretical density is 6.20 g/cm3.

Lattice parameters (Å, degrees): 8.7818 8.9166 8.7819 119.51 120.00 90.00
Last column: nearest neighbours and their distance in Å.
Positions (direct):
Dy1 0.5000 0.5000 0.0000  6 Te 3.11
Dy2 0.0000 0.5000 0.5000  6 Te 3.11
Dy3 0.5000 0.5000 0.5000  6 Te 3.11
Te1 0.2518 0.2552 0.5035  3 Dy 3.11, 3 Ca 3.15
Te2 0.7477 0.7453 0.9965  2 Dy 3.11, 1 Tb 3.11, 3 Ca 3.14-3.15
Te3 0.2523 0.2547 0.0035  2 Dy 3.11, 1 Tb 3.11, 3 Ca 3.14-3.15
Te4 0.2489 0.7454 0.4978  2 Dy 3.11, 1 Tb 3.11, 3 Ca 3.14-3.15
Te5 0.7482 0.7448 0.4965  3 Dy 3.11, 3 Ca 3.15
Te6 0.7511 0.2546 0.5022  2 Dy 3.11, 1 Tb 3.11, 3 Ca 3.14-3.15
Te7 0.2488 0.7453 0.9965  2 Dy 3.11, 1 Tb 3.11, 3 Ca 3.14-3.15
Te8 0.7512 0.2547 0.0035  2 Dy 3.11, 1 Tb 3.11, 3 Ca 3.14-3.15
Ca1 0.0000 0.0000 0.0000  6 Te 3.15
Ca2 0.0000 0.0000 0.5000  6 Te 3.15
Ca3 0.5000 0.0000 0.0000  6 Te 3.14
Ca4 0.5000 0.0000 0.5000  6 Te 3.15
Tb1 0.0000 0.5000 0.0000  6 Te 3.11



(3)
Crystalline Ta2ZnCr at its relaxed geometry. Source: Alexandria, functional GGA-PBE.

Values from the calculation:
Its density of states at the Fermi level is 3.68 states/eV per cell. The calculation puts the formation energy at 150 meV per atom. Its theoretical density is 12.65 g/cm3.

Lattice parameters (Å, degrees): 4.8677 4.8677 4.8677 136.30 126.22 71.70
Last column: nearest neighbours and their distance in Å.
Positions (direct):
Cr1 0.2500 0.7500 0.5000  4 Ta 2.59, 4 Zn 2.85
Ta1 0.0155 0.0155 0.0000  2 Cr 2.59, 4 Zn 2.77-2.88, 4 Ta 2.86
Ta2 0.4845 0.4845 0.0000  2 Cr 2.59, 4 Zn 2.77-2.88, 4 Ta 2.86
Zn1 0.7500 0.2500 0.5000  8 Ta 2.77-2.88, 4 Cr 2.85



(4)
Crystalline AlNiHg2 at its relaxed geometry. Source: Alexandria, functional GGA-PBE.

Values from the calculation:
Its density of states at the Fermi level is 1.80 states/eV per cell. The calculation puts the formation energy at 210 meV per atom. Its theoretical density is 11.52 g/cm3.

Lattice parameters (Å, degrees): 5.1147 5.1147 5.1147 133.05 133.05 68.58
Last column: nearest neighbours and their distance in Å.
Positions (direct):
Ni1 0.5000 0.5000 0.0000  8 Hg 2.88-2.94, 4 Al 2.94
Hg1 0.0000 0.0000 0.0000  4 Ni 2.88, 4 Al 2.94, 4 Hg 2.94
Hg2 0.2500 0.7500 0.5000  4 Al 2.88, 4 Ni 2.94, 4 Hg 2.94
Al1 0.7500 0.2500 0.5000  8 Hg 2.88-2.94, 4 Ni 2.94



(5)
Crystalline TcAg2Ru at its relaxed geometry. Source: Alexandria, functional GGA-PBE.

Values from the calculation:
As for the energy relative to the lowest polymorph listed for this composition: 171 kJ/mol of formula units. Its density of states at the Fermi level is 5.82 states/eV per cell. The calculation puts the formation energy at 674 meV per atom. Its theoretical density is 10.79 g/cm3.

Lattice parameters (Å, degrees): 4.4860 4.4860 4.4860 60.00 60.00 60.00
Last column: nearest neighbours and their distance in Å.
Positions (direct):
Ag1 0.0000 0.0000 0.0000  4 Tc 2.75, 4 Ag 2.75
Ag2 0.2500 0.2500 0.2500  4 Ru 2.75, 4 Ag 2.75
Tc1 0.7500 0.7500 0.7500  4 Ru 2.75, 4 Ag 2.75
Ru1 0.5000 0.5000 0.5000  4 Tc 2.75, 4 Ag 2.75



(6)
Crystalline ScTl2SbS4 at its relaxed geometry. Source: Alexandria, functional GGA-PBE.

Values from the calculation:
Its density of states at the Fermi level is 0.58 states/eV per cell. The uncorrected formation energy comes out at -0.796 eV per atom. Its theoretical density is 5.91 g/cm3.

Lattice parameters (Å, degrees): 8.2410 8.2410 8.0290 119.15 119.15 89.95
Last column: nearest neighbours and their distance in Å.
Positions (direct):
S1 0.7805 0.3054 0.5430  2 Sc 2.67, 1 Sb 2.79
S2 0.8054 0.2805 0.0430  2 Sc 2.67, 1 Sb 2.79
S3 0.7724 0.7275 0.9771  1 Sc 2.66, 2 Sb 2.80
S4 0.7725 0.7276 0.5229  1 Sc 2.66, 2 Sb 2.80
S5 0.1946 0.7195 0.9570  2 Sc 2.67, 1 Sb 2.79
S6 0.2275 0.2725 0.4771  1 Sc 2.66, 2 Sb 2.80
S7 0.2276 0.2725 0.0229  1 Sc 2.66, 2 Sb 2.80
S8 0.2195 0.6946 0.4570  2 Sc 2.67, 1 Sb 2.79
Sb1 0.0000 0.0000 0.0000  6 S 2.79-2.80
Sb2 0.5000 0.5000 0.5000  6 S 2.79-2.80
Tl1 0.5000 0.0000 0.0000  6 S 3.18-3.19
Tl2 0.5000 0.0000 0.5000  6 S 3.18-3.19
Tl3 0.0000 0.0000 0.5000  6 S 3.06-3.08
Tl4 0.5000 0.5000 0.0000  6 S 3.06-3.08
Sc1 0.0000 0.5000 0.0000  6 S 2.66-2.67
Sc2 0.0000 0.5000 0.5000  6 S 2.66-2.67



(7)
Crystalline PmMg4Ga2 at its relaxed geometry. Source: Alexandria, functional GGA-PBE.

Values from the calculation:
As for the energy relative to the lowest polymorph listed for this composition: 0 kJ/mol of formula units. Its density of states at the Fermi level is 3.26 states/eV per cell. The calculation puts the formation energy at -288 meV per atom. Its theoretical density is 4.05 g/cm3.

Lattice parameters (Å, degrees): 4.3623 4.3991 8.4435 105.10 90.00 90.00
Last column: nearest neighbours and their distance in Å.
Positions (direct):
Ga1 0.5000 0.4247 0.8495  1 Ga 2.45
Ga2 0.5000 0.5753 0.1505  1 Ga 2.45
Mg1 0.0000 0.6791 0.3582  2 Ga 2.76
Mg2 0.0000 0.3209 0.6418  2 Ga 2.76
Mg3 0.5000 0.1770 0.3539  2 Ga 2.75
Mg4 0.5000 0.8230 0.6461  2 Ga 2.75
Pm1 0.0000 0.0000 0.0000  8 Ga 3.33, 8 Mg 3.62-3.66



(8)
Crystalline KAlSe3 at its relaxed geometry. Source: Alexandria, functional GGA-PBE.

Values from the calculation:
As for the energy relative to the lowest polymorph listed for this composition: 0 kJ/mol of formula units. Its density of states at the Fermi level is 4.53 states/eV per cell. The uncorrected formation energy comes out at -0.514 eV per atom. Its theoretical density is 3.89 g/cm3.

Lattice parameters (Å, degrees): 5.0564 5.0564 5.0564 90.00 90.00 90.00
Last column: nearest neighbours and their distance in Å.
Positions (direct):
Al1 0.0000 0.0000 0.0000  6 Se 2.53
Se1 0.0000 0.5000 0.0000  2 Al 2.53
Se2 0.0000 0.0000 0.5000  2 Al 2.53
Se3 0.5000 0.0000 0.0000  2 Al 2.53
K1 0.5000 0.5000 0.5000  12 Se 3.58



(9)
Crystalline KCdMo2Se at its relaxed geometry. Source: Alexandria, functional GGA-PBE.

Values from the calculation:
Its density of states at the Fermi level is 4.83 states/eV per cell. The uncorrected formation energy comes out at 2.722 eV per atom. Its theoretical density is 5.98 g/cm3.

Lattice parameters (Å, degrees): 4.6656 5.3875 4.6656 90.00 90.00 90.00
Last column: nearest neighbours and their distance in Å.
Positions (direct):
K1 0.0000 0.0000 0.0000  4 Mo 2.33
Mo1 0.5000 0.0000 0.0000  2 K 2.33
Mo2 0.0000 0.0000 0.5000  2 K 2.33
Se1 0.5000 0.5000 0.5000  4 Cd 3.30, 8 Mo 3.56
Cd1 0.0000 0.5000 0.0000  2 K 2.69



(10)
Crystalline NaTl5HgBi2 at its relaxed geometry. Source: Alexandria, functional GGA-PBE.

Values from the calculation:
Its density of states at the Fermi level is 6.50 states/eV per cell. The calculation puts the formation energy at -30 meV per atom. Its theoretical density is 9.71 g/cm3.

Lattice parameters (Å, degrees): 4.9794 9.6074 12.3190 90.00 90.00 105.02
Last column: nearest neighbours and their distance in Å.
Positions (direct):
Tl1 0.3439 0.6878 0.0394  1 Hg 3.42, 3 Tl 3.52-3.63, 2 Bi 3.59
Tl2 0.5094 0.0188 0.1966  2 Na 3.15-3.49, 2 Tl 3.23, 2 Bi 3.28
Tl3 0.2670 0.5341 0.3684  1 Na 3.19, 3 Bi 3.21-3.47, 2 Hg 3.44
Tl4 0.7330 0.4659 0.8684  1 Na 3.19, 3 Bi 3.21-3.47, 2 Hg 3.44
Tl5 0.9780 0.9560 0.0367  2 Bi 3.19-3.28, 4 Tl 3.23-3.52, 2 Na 3.27, 1 Hg 3.38
Tl6 0.6996 0.3992 0.1779  2 Hg 3.19, 3 Bi 3.26-3.49, 1 Tl 3.54
Tl7 0.4906 0.9812 0.6966  2 Na 3.15-3.49, 2 Tl 3.23, 2 Bi 3.28
Tl8 0.6561 0.3122 0.5394  1 Hg 3.42, 3 Tl 3.52-3.63, 2 Bi 3.59
Tl9 0.3004 0.6008 0.6779  2 Hg 3.19, 3 Bi 3.26-3.49, 1 Tl 3.54
Tl10 0.0220 0.0440 0.5367  2 Bi 3.19-3.28, 4 Tl 3.23-3.52, 2 Na 3.27, 1 Hg 3.38
Bi1 0.9008 0.8015 0.8058  6 Tl 3.19-3.49
Bi2 0.1309 0.2617 0.7464  6 Tl 3.26-3.59, 1 Hg 3.50, 2 Na 3.54
Bi3 0.0992 0.1985 0.3058  6 Tl 3.19-3.49
Bi4 0.8691 0.7383 0.2464  6 Tl 3.26-3.59, 1 Hg 3.50, 2 Na 3.54
Hg1 0.8400 0.6799 0.5268  6 Tl 3.19-3.44, 2 Na 3.29, 1 Bi 3.50
Hg2 0.1600 0.3201 0.0268  6 Tl 3.19-3.44, 2 Na 3.29, 1 Bi 3.50
Na1 0.5656 0.1312 0.9259  5 Tl 3.15-3.49, 2 Hg 3.29
Na2 0.4344 0.8688 0.4259  5 Tl 3.15-3.49, 2 Hg 3.29



(11)
Crystalline BaGd2Fe at its relaxed geometry. Source: Alexandria, functional GGA-PBE.

Values from the calculation:
Its density of states at the Fermi level is 3.67 states/eV per cell. The calculation puts the formation energy at 273 meV per atom. Its theoretical density is 6.18 g/cm3.

Lattice parameters (Å, degrees): 3.8534 3.8534 10.8372 79.76 79.76 60.00
Last column: nearest neighbours and their distance in Å.
Positions (direct):
Gd1 0.8818 0.8818 0.3547  3 Fe 2.71
Gd2 0.1182 0.1182 0.6453  3 Fe 2.71
Ba1 0.0000 0.0000 0.0000  2 Gd 3.76, 6 Ba 3.85
Fe1 0.5000 0.5000 0.5000  6 Gd 2.71



(12)
Crystalline Tm4CdIrRu2 at its relaxed geometry. Source: Alexandria, functional GGA-PBE.

Values from the calculation:
Its density of states at the Fermi level is 4.32 states/eV per cell. The calculation puts the formation energy at -538 meV per atom. Its theoretical density is 12.10 g/cm3.

Lattice parameters (Å, degrees): 4.8506 4.8506 8.4446 73.31 73.31 60.00
Last column: nearest neighbours and their distance in Å.
Positions (direct):
Cd1 0.0000 0.0000 0.0000  8 Tm 3.02-3.09
Ir1 0.5000 0.5000 0.5000  8 Tm 2.85-2.94
Ru1 0.2512 0.2512 0.2464  8 Tm 2.92-3.10
Ru2 0.7488 0.7488 0.7536  8 Tm 2.92-3.10
Tm1 0.8709 0.8709 0.3873  4 Ru 2.92-3.02, 3 Ir 2.94, 1 Cd 3.09
Tm2 0.1291 0.1291 0.6127  4 Ru 2.92-3.02, 3 Ir 2.94, 1 Cd 3.09
Tm3 0.6193 0.6193 0.1421  1 Ir 2.85, 4 Ru 2.92-3.10, 3 Cd 3.02
Tm4 0.3807 0.3807 0.8579  1 Ir 2.85, 4 Ru 2.92-3.10, 3 Cd 3.02